# 1
A plane-wave DFT calculation with GGA+U was carried out for a geometry-optimized CrPO4 structure.

Cell lengths 5.564, 6.462, 9.276 Å; angles 72.62, 80.74, 77.24 degrees
Fractional coordinates of all 24 atoms:
Cr  0.198  0.087  0.196
Cr  0.294  0.164  0.567
Cr  0.706  0.836  0.433
Cr  0.802  0.913  0.804
P  0.158  0.713  0.529
P  0.341  0.849  0.906
P  0.659  0.151  0.094
P  0.842  0.287  0.471
O  0.072  0.815  0.363
O  0.100  0.240  0.377
O  0.144  0.766  0.852
O  0.239  0.926  0.046
O  0.270  0.472  0.566
O  0.353  0.847  0.544
O  0.403  0.306  0.079
O  0.432  0.049  0.765
O  0.568  0.951  0.235
O  0.597  0.694  0.921
O  0.647  0.153  0.456
O  0.730  0.528  0.434
O  0.761  0.074  0.954
O  0.856  0.234  0.148
O  0.900  0.760  0.623
O  0.928  0.185  0.637

Results
Volume in Å³/cell: 308.8
Total magnetization in μB per cell: 12.00
Total energy in eV/atom: -7.531

---

# 2
A plane-wave DFT calculation with GGA+U was carried out for a geometry-optimized CrPO4 structure.

Cell lengths 7.452, 5.363, 6.412 Å; angles 77.96, 44.74, 57.30 degrees
Fractional coordinates of all 12 atoms:
Cr  0.000  0.000  0.000
Cr  0.250  0.250  0.250
P  0.687  0.687  0.313
P  0.937  0.937  0.563
O  0.024  0.069  0.654
O  0.069  0.024  0.254
O  0.108  0.585  0.507
O  0.449  0.743  0.665
O  0.585  0.108  0.801
O  0.596  0.996  0.226
O  0.743  0.449  0.142
O  0.996  0.596  0.181

Results
Volume in Å³/cell: 145.0
Total magnetization in μB per cell: 6.00
Total energy in eV/atom: -7.480